Entry 1:
## AcPmSiSb (PBE)

Data for a relaxed structure of AcPmSiSb.

a b c (Å): 5.490 5.490 5.490
angles (deg): 60.00 60.00 60.00
Fractional positions:
Ac (0.000, 0.000, 0.000)
Pm (0.500, 0.500, 0.500)
Si (0.750, 0.750, 0.750)
Sb (0.250, 0.250, 0.250)

Its total DFT energy (no corrections) is -5.1407 eV/atom. The calculation puts the volume at 29.24 Å³ per atom.



Entry 2:
## Ac2PmSmSb4 (PBE)

Data for a relaxed structure of Ac2PmSmSb4.

a b c (Å): 8.036 4.642 8.045
angles (deg): 90.00 109.44 90.00
Fractional positions:
Ac (0.000, 0.000, 0.000)
Ac (0.500, 0.500, 0.000)
Pm (0.000, 0.500, 0.500)
Sm (0.500, 0.000, 0.500)
Sb (0.245, 0.000, 0.733)
Sb (0.256, 0.500, 0.267)
Sb (0.744, 0.500, 0.733)
Sb (0.755, 0.000, 0.267)

Its total DFT energy (no corrections) is -5.4570 eV/atom. The calculation puts the volume at 35.38 Å³ per atom.



Entry 3:
## AcPmSm2Sb4 (PBE)

Data for a relaxed structure of AcPmSm2Sb4.

a b c (Å): 7.901 4.564 7.904
angles (deg): 90.00 109.44 90.00
Fractional positions:
Ac (0.000, 0.000, 0.000)
Pm (0.000, 0.500, 0.500)
Sm (0.500, 0.000, 0.500)
Sm (0.500, 0.500, 0.000)
Sb (0.257, 0.000, 0.745)
Sb (0.262, 0.500, 0.261)
Sb (0.738, 0.500, 0.739)
Sb (0.743, 0.000, 0.255)

Its total DFT energy (no corrections) is -5.5178 eV/atom. The calculation puts the volume at 33.59 Å³ per atom.



Entry 4:
## AcTbPmSb (PBE)

Data for a relaxed structure of AcTbPmSb.

a b c (Å): 5.590 5.590 5.590
angles (deg): 60.00 60.00 60.00
Fractional positions:
Ac (0.000, 0.000, 0.000)
Tb (0.250, 0.250, 0.250)
Pm (0.750, 0.750, 0.750)
Sb (0.500, 0.500, 0.500)

Its total DFT energy (no corrections) is -4.6627 eV/atom. The calculation puts the volume at 30.88 Å³ per atom.



Entry 5:
## AcTbPm2Sb4 (PBE)

Data for a relaxed structure of AcTbPm2Sb4.

a b c (Å): 7.881 4.554 7.887
angles (deg): 90.00 109.41 90.00
Fractional positions:
Ac (0.000, 0.000, 0.000)
Tb (0.500, 0.500, 0.000)
Pm (0.000, 0.500, 0.500)
Pm (0.500, 0.000, 0.500)
Sb (0.259, 0.000, 0.749)
Sb (0.263, 0.500, 0.259)
Sb (0.737, 0.500, 0.741)
Sb (0.741, 0.000, 0.251)

Its total DFT energy (no corrections) is -5.4971 eV/atom. The calculation puts the volume at 33.38 Å³ per atom.



Entry 6:
## Ac2PmSb2Te2 (PBE)

Data for a relaxed structure of Ac2PmSb2Te2.

a b c (Å): 9.263 9.263 9.263
angles (deg): 143.22 143.22 53.00
Fractional positions:
Ac (0.121, 0.121, 0.000)
Ac (0.879, 0.879, 0.000)
Pm (0.500, 0.500, 0.000)
Sb (0.000, 0.500, 0.500)
Sb (0.500, 0.000, 0.500)
Te (0.313, 0.313, 0.000)
Te (0.687, 0.687, 0.000)

Its total DFT energy (no corrections) is -4.8571 eV/atom. The calculation puts the volume at 40.46 Å³ per atom.



Entry 7:
## AcPm2ThSb4 (PBE)

Data for a relaxed structure of AcPm2ThSb4.

a b c (Å): 7.889 4.572 7.934
angles (deg): 90.00 109.43 90.00
Fractional positions:
Ac (0.000, 0.000, 0.000)
Pm (0.500, 0.000, 0.500)
Pm (0.500, 0.500, 0.000)
Th (0.000, 0.500, 0.500)
Sb (0.255, 0.000, 0.744)
Sb (0.260, 0.500, 0.262)
Sb (0.740, 0.500, 0.738)
Sb (0.745, 0.000, 0.256)

Its total DFT energy (no corrections) is -5.8162 eV/atom. The calculation puts the volume at 33.74 Å³ per atom.



Entry 8:
## AcPmTh2Sb4 (PBE)

Data for a relaxed structure of AcPmTh2Sb4.

a b c (Å): 7.917 4.573 7.935
angles (deg): 90.00 109.47 90.00
Fractional positions:
Ac (0.000, 0.000, 0.000)
Pm (0.500, 0.500, 0.000)
Th (0.000, 0.500, 0.500)
Th (0.500, 0.000, 0.500)
Sb (0.255, 0.000, 0.744)
Sb (0.260, 0.500, 0.261)
Sb (0.740, 0.500, 0.739)
Sb (0.745, 0.000, 0.256)

Its total DFT energy (no corrections) is -6.0702 eV/atom. The calculation puts the volume at 33.86 Å³ per atom.